Entry from Alexandria: a relaxed RbLiAg2F8 crystal (PBE-GGA).

The space group is I-4 (No. 82) and the conventional cell measures 6.084, 6.084 and 9.816 Å, with angles of 90.00, 90.00 and 90.00 degrees. The inequivalent atoms are Rb at (0.000, 0.000, 0.000), Li at (0.000, 0.500, 0.750), Ag at (0.000, 0.000, 0.500), Ag at (0.000, 0.500, 0.250), F at (0.045, 0.317, 0.515) and F at (0.188, 0.233, 0.246).

As for the total moment: 0.0 μB per formula unit. For the formation energy without anion corrections, the calculation gives -1625 meV per atom.